## a
A geometry-optimized NaPdBr structure. Source: Alexandria via LeMat-Bulk, functional GGA-PBE.

SG: Cm (8)

Cell: 4.742 4.742 8.600 Å, 106.27 106.27 60.02°
Atoms (fractional coordinates):
Na: 0.000 0.000 0.000
Na: 0.145 0.145 0.425
Pd: 0.406 0.406 0.213
Pd: 0.739 0.739 0.214
Br: 0.636 0.636 0.910
Br: 0.843 0.843 0.518

=====

## b
A geometry-optimized NaPdBr structure. Source: Alexandria via LeMat-Bulk, functional GGA-PBE.

SG: P1 (1)

Cell: 3.960 4.696 8.698 Å, 94.94 103.07 90.13°
Atoms (fractional coordinates):
Na: 0.000 0.000 0.000
Na: 0.230 0.569 0.454
Pd: 0.369 0.074 0.734
Pd: 0.760 0.079 0.515
Br: 0.412 0.591 0.827
Br: 0.618 0.200 0.236

=====

What should be chosen as the most stable of them? Choose a.

=====

## a
A geometry-optimized NaPdBr2 structure. Source: Alexandria via LeMat-Bulk, functional GGA-PBE.

SG: Fm-3m (225)

Cell: 5.031 5.031 5.031 Å, 60.00 60.00 60.00°
Atoms (fractional coordinates):
Na: 0.000 0.000 0.000
Pd: 0.500 0.500 0.500
Br: 0.250 0.250 0.250
Br: 0.750 0.750 0.750

=====

## b
A geometry-optimized NaPdBr2 structure. Source: Alexandria via LeMat-Bulk, functional GGA-PBE.

SG: I-42d (122)

Cell: 8.150 8.150 8.150 Å, 136.86 136.86 62.65°
Atoms (fractional coordinates):
Na: 0.000 0.000 0.000
Na: 0.750 0.250 0.500
Pd: 0.250 0.750 0.500
Pd: 0.500 0.500 0.000
Br: 0.166 0.625 0.041
Br: 0.375 0.416 0.541
Br: 0.584 0.125 0.959
Br: 0.875 0.834 0.459

=====

What should be chosen as the most stable of them? Choose b.

=====

## a
A geometry-optimized Na3PdBr structure. Source: Alexandria via LeMat-Bulk, functional GGA-PBE.

SG: Pm-3m (221)

Cell: 5.392 5.392 5.392 Å, 90.00 90.00 90.00°
Atoms (fractional coordinates):
Na: 0.000 0.000 0.500
Na: 0.000 0.500 0.000
Na: 0.500 0.000 0.000
Pd: 0.500 0.500 0.500
Br: 0.000 0.000 0.000

=====

## b
A geometry-optimized Na3PdBr structure. Source: Alexandria via LeMat-Bulk, functional GGA-PBE.

SG: Pm-3m (221)

Cell: 5.460 5.460 5.460 Å, 90.00 90.00 90.00°
Atoms (fractional coordinates):
Na: 0.000 0.000 0.500
Na: 0.000 0.500 0.000
Na: 0.500 0.000 0.000
Pd: 0.000 0.000 0.000
Br: 0.500 0.500 0.500

=====

What should be chosen as the most stable of them? Choose b.

=====

## a
A geometry-optimized Rb2NaPdBr6 structure. Source: Alexandria via LeMat-Bulk, functional GGA-PBE.

SG: I4/mmm (139)

Cell: 7.744 7.744 7.744 Å, 119.96 119.96 90.07°
Atoms (fractional coordinates):
Rb: 0.250 0.750 0.500
Rb: 0.750 0.250 0.500
Na: 0.000 0.000 0.000
Pd: 0.500 0.500 0.000
Br: 0.265 0.265 0.000
Br: 0.265 0.265 0.530
Br: 0.265 0.735 0.000
Br: 0.735 0.265 0.000
Br: 0.735 0.735 0.000
Br: 0.735 0.735 0.470

=====

## b
A geometry-optimized Rb2NaPdBr6 structure. Source: Alexandria via LeMat-Bulk, functional GGA-PBE.

SG: R-3m (166)

Cell: 14.439 14.439 14.439 Å, 30.19 30.19 30.19°
Atoms (fractional coordinates):
Rb: 0.129 0.129 0.129
Rb: 0.302 0.302 0.302
Rb: 0.698 0.698 0.698
Rb: 0.871 0.871 0.871
Na: 0.417 0.417 0.417
Na: 0.583 0.583 0.583
Pd: 0.000 0.000 0.000
Pd: 0.500 0.500 0.500
Br: 0.136 0.629 0.629
Br: 0.198 0.198 0.713
Br: 0.198 0.713 0.198
Br: 0.287 0.802 0.802
Br: 0.371 0.371 0.864
Br: 0.371 0.864 0.371
Br: 0.629 0.136 0.629
Br: 0.629 0.629 0.136
Br: 0.713 0.198 0.198
Br: 0.802 0.287 0.802
Br: 0.802 0.802 0.287
Br: 0.864 0.371 0.371

=====

What should be chosen as the most stable of them? Choose b.

=====

## a
A geometry-optimized Na3PmBr6 structure. Source: Alexandria via LeMat-Bulk, functional GGA-PBE.

SG: R3 (146)

Cell: 8.029 8.029 8.029 Å, 55.65 55.65 55.65°
Atoms (fractional coordinates):
Na: 0.000 0.000 0.000
Na: 0.198 0.198 0.198
Na: 0.703 0.703 0.703
Pm: 0.507 0.507 0.507
Br: 0.121 0.404 0.776
Br: 0.297 0.898 0.599
Br: 0.404 0.776 0.121
Br: 0.599 0.297 0.898
Br: 0.776 0.121 0.404
Br: 0.898 0.599 0.297

=====

## b
A geometry-optimized Na3PmBr6 structure. Source: Alexandria via LeMat-Bulk, functional GGA-PBE.

SG: P2_1/c (14)

Cell: 7.395 7.826 13.186 Å, 90.00 123.18 90.00°
Atoms (fractional coordinates):
Na: 0.000 0.000 0.000
Na: 0.000 0.500 0.500
Na: 0.206 0.076 0.730
Na: 0.206 0.424 0.230
Na: 0.794 0.576 0.770
Na: 0.794 0.924 0.270
Pm: 0.500 0.000 0.500
Pm: 0.500 0.500 0.000
Br: 0.116 0.182 0.438
Br: 0.116 0.318 0.938
Br: 0.239 0.693 0.412
Br: 0.239 0.807 0.912
Br: 0.405 0.075 0.260
Br: 0.405 0.425 0.760
Br: 0.595 0.575 0.240
Br: 0.595 0.925 0.740
Br: 0.761 0.193 0.088
Br: 0.761 0.307 0.588
Br: 0.884 0.682 0.062
Br: 0.884 0.818 0.562

=====

What should be chosen as the most stable of them? Choose a.

=====

## a
A geometry-optimized Na3PrBr6 structure. Source: Alexandria via LeMat-Bulk, functional GGA-PBE.

SG: P2_1/c (14)

Cell: 7.444 7.848 13.262 Å, 90.00 123.08 90.00°
Atoms (fractional coordinates):
Na: 0.000 0.000 0.000
Na: 0.000 0.500 0.500
Na: 0.207 0.075 0.728
Na: 0.207 0.425 0.228
Na: 0.793 0.575 0.772
Na: 0.793 0.925 0.272
Pr: 0.500 0.000 0.500
Pr: 0.500 0.500 0.000
Br: 0.112 0.181 0.439
Br: 0.112 0.319 0.939
Br: 0.236 0.690 0.410
Br: 0.236 0.810 0.910
Br: 0.404 0.078 0.259
Br: 0.404 0.422 0.759
Br: 0.596 0.578 0.241
Br: 0.596 0.922 0.741
Br: 0.764 0.190 0.090
Br: 0.764 0.310 0.590
Br: 0.888 0.681 0.061
Br: 0.888 0.819 0.561

=====

## b
A geometry-optimized Na3PrBr6 structure. Source: Alexandria via LeMat-Bulk, functional GGA-PBE.

SG: R3 (146)

Cell: 8.069 8.069 8.069 Å, 55.62 55.62 55.62°
Atoms (fractional coordinates):
Na: 0.000 0.000 0.000
Na: 0.198 0.198 0.198
Na: 0.495 0.495 0.495
Pr: 0.692 0.692 0.692
Br: 0.083 0.416 0.794
Br: 0.296 0.900 0.601
Br: 0.416 0.794 0.083
Br: 0.601 0.296 0.900
Br: 0.794 0.083 0.416
Br: 0.900 0.601 0.296

=====

What should be chosen as the most stable of them? Choose b.

=====

## a
A geometry-optimized Na2PrBr4 structure. Source: Alexandria via LeMat-Bulk, functional GGA-PBE.

SG: Imma (74)

Cell: 8.956 8.956 8.956 Å, 128.77 119.06 83.58°
Atoms (fractional coordinates):
Na: 0.000 0.000 0.000
Na: 0.378 0.628 0.750
Na: 0.500 0.000 0.500
Na: 0.622 0.372 0.250
Pr: 0.000 0.000 0.500
Pr: 0.000 0.500 0.000
Br: 0.224 0.220 0.496
Br: 0.224 0.728 0.004
Br: 0.241 0.230 0.011
Br: 0.280 0.770 0.511
Br: 0.720 0.230 0.489
Br: 0.759 0.770 0.989
Br: 0.776 0.272 0.996
Br: 0.776 0.780 0.504

=====

## b
A geometry-optimized Na2PrBr4 structure. Source: Alexandria via LeMat-Bulk, functional GGA-PBE.

SG: I4/mmm (139)

Cell: 8.662 8.662 8.662 Å, 139.93 139.93 57.96°
Atoms (fractional coordinates):
Na: 0.124 0.124 0.000
Na: 0.876 0.876 0.000
Pr: 0.500 0.500 0.000
Br: 0.000 0.500 0.500
Br: 0.310 0.310 0.000
Br: 0.500 0.000 0.500
Br: 0.690 0.690 0.000

=====

What should be chosen as the most stable of them? Choose a.

=====

## a
A geometry-optimized Rb2NaPrBr6 structure. Source: Alexandria via LeMat-Bulk, functional GGA-PBE.

SG: P2_1/c (14)

Cell: 7.977 8.338 13.838 Å, 90.00 124.47 90.00°
Atoms (fractional coordinates):
Rb: 0.226 0.068 0.248
Rb: 0.226 0.432 0.748
Rb: 0.774 0.568 0.252
Rb: 0.774 0.932 0.752
Na: 0.000 0.000 0.500
Na: 0.000 0.500 0.000
Pr: 0.500 0.000 0.000
Pr: 0.500 0.500 0.500
Br: 0.159 0.198 0.954
Br: 0.159 0.302 0.454
Br: 0.258 0.709 0.953
Br: 0.258 0.791 0.453
Br: 0.344 0.023 0.752
Br: 0.344 0.477 0.252
Br: 0.656 0.523 0.748
Br: 0.656 0.977 0.248
Br: 0.742 0.209 0.547
Br: 0.742 0.291 0.047
Br: 0.841 0.698 0.546
Br: 0.841 0.802 0.046

=====

## b
A geometry-optimized Rb2NaPrBr6 structure. Source: Alexandria via LeMat-Bulk, functional GGA-PBE.

SG: Fm-3m (225)

Cell: 8.217 8.217 8.217 Å, 60.00 60.00 60.00°
Atoms (fractional coordinates):
Rb: 0.250 0.250 0.250
Rb: 0.750 0.750 0.750
Na: 0.000 0.000 0.000
Pr: 0.500 0.500 0.500
Br: 0.251 0.251 0.749
Br: 0.251 0.749 0.251
Br: 0.251 0.749 0.749
Br: 0.749 0.251 0.251
Br: 0.749 0.251 0.749
Br: 0.749 0.749 0.251

=====

What should be chosen as the most stable of them? Choose a.

=====

## a
A geometry-optimized NaPtBr structure. Source: Alexandria via LeMat-Bulk, functional GGA-PBE.

SG: P2_1/m (11)

Cell: 6.330 3.766 6.355 Å, 90.00 91.78 90.00°
Atoms (fractional coordinates):
Na: 0.178 0.250 0.225
Na: 0.822 0.750 0.775
Pt: 0.393 0.750 0.907
Pt: 0.607 0.250 0.093
Br: 0.187 0.250 0.706
Br: 0.813 0.750 0.294

=====

## b
A geometry-optimized NaPtBr structure. Source: Alexandria via LeMat-Bulk, functional GGA-PBE.

SG: Cm (8)

Cell: 10.996 10.996 3.598 Å, 95.06 95.06 18.68°
Atoms (fractional coordinates):
Na: 0.000 0.000 0.000
Na: 0.177 0.177 0.640
Pt: 0.319 0.319 0.680
Pt: 0.786 0.786 0.153
Br: 0.434 0.434 0.469
Br: 0.607 0.607 0.106

=====

## c
A geometry-optimized NaPtBr structure. Source: Alexandria via LeMat-Bulk, functional GGA-PBE.

SG: Pnma (62)

Cell: 8.738 3.907 8.501 Å, 90.00 90.00 90.00°
Atoms (fractional coordinates):
Na: 0.000 0.250 0.250
Na: 0.000 0.750 0.750
Na: 0.500 0.250 0.250
Na: 0.500 0.750 0.750
Pt: 0.250 0.250 0.651
Pt: 0.250 0.750 0.151
Pt: 0.750 0.250 0.849
Pt: 0.750 0.750 0.349
Br: 0.250 0.250 0.939
Br: 0.250 0.750 0.439
Br: 0.750 0.250 0.561
Br: 0.750 0.750 0.061

=====

## d
A geometry-optimized NaPtBr structure. Source: Alexandria via LeMat-Bulk, functional GGA-PBE.

SG: C2/m (12)

Cell: 5.623 5.623 8.674 Å, 119.49 119.49 39.22°
Atoms (fractional coordinates):
Na: 0.028 0.028 0.238
Na: 0.972 0.972 0.762
Pt: 0.260 0.260 0.107
Pt: 0.740 0.740 0.893
Br: 0.220 0.220 0.673
Br: 0.780 0.780 0.327

=====

What should be chosen as the most stable of them? Choose d.

=====

## a
A geometry-optimized NaPtBr structure. Source: Alexandria via LeMat-Bulk, functional GGA-PBE.

SG: P1 (1)

Cell: 3.756 5.615 7.589 Å, 87.11 89.76 70.52°
Atoms (fractional coordinates):
Na: 0.000 0.000 0.000
Na: 0.375 0.259 0.623
Pt: 0.099 0.809 0.585
Pt: 0.675 0.653 0.797
Br: 0.276 0.448 0.002
Br: 0.558 0.895 0.354

=====

## b
A geometry-optimized NaPtBr structure. Source: Alexandria via LeMat-Bulk, functional GGA-PBE.

SG: P1 (1)

Cell: 3.848 5.349 9.016 Å, 104.93 91.66 111.00°
Atoms (fractional coordinates):
Na: 0.000 0.000 0.000
Na: 0.046 0.150 0.587
Pt: 0.133 0.368 0.309
Pt: 0.460 0.020 0.303
Br: 0.438 0.909 0.760
Br: 0.768 0.649 0.229

=====

What should be chosen as the most stable of them? Choose a.